Compound: MoIrO2
Source: Alexandria via LeMat-Bulk
Functional: PBE with a Hubbard U
Structure: optimized geometry

```
4
Lattice="-3.766 0.883 0.936 -1.430 3.642 -0.730 -2.692 0.541 -2.881" Properties=species:S:1:pos:R:3 pbc="T T T"
Mo 0.000 0.000 0.000
Ir -3.944 2.533 -1.338
O -5.916 3.799 -2.006
O -1.972 1.266 -0.669
```

Calculated density (Mg/m³): 11.9
Uncorrected energy (eV/atom): -5.89